Entry 1:
This record from Alexandria describes a geometry-optimized BaTiZnF7 structure. The functional is PBE.

Computed properties:
Its density of states at the Fermi level is 2.82 states/eV/f.u. The uncorrected formation energy is -3189 meV per atom. For the volume, the calculation gives 14.13 A^3/atom. The value obtained for the energy is -224.34 eV per cell. Its space-group type is P2_1/c, No. 14.

CIF file:
```
data_BaTiZnF7
_chemical_formula_sum 'Ba4 Ti4 Zn4 F28'
_cell_length_a 10.094
_cell_length_b 5.767
_cell_length_c 9.724
_cell_angle_alpha 87.05
_cell_angle_beta 90.00
_cell_angle_gamma 90.00
_symmetry_space_group_name_H-M 'P 1'
_symmetry_Int_Tables_number 1
loop_
_symmetry_equiv_pos_as_xyz
'x,y,z'
loop_
_atom_site_label
_atom_site_fract_x
_atom_site_fract_y
_atom_site_fract_z
F1 0.719 0.972 0.250
F2 0.555 0.116 0.877
F3 0.210 0.480 0.750
F4 0.810 0.739 0.494
F5 0.790 0.520 0.250
F6 0.459 0.392 0.623
F7 0.690 0.739 0.994
F8 0.541 0.608 0.377
F9 0.445 0.633 0.872
F10 0.457 0.107 0.367
F11 0.290 0.480 0.250
F12 0.281 0.028 0.750
F13 0.055 0.633 0.372
F14 0.543 0.893 0.633
F15 0.710 0.520 0.750
F16 0.055 0.884 0.623
F17 0.190 0.261 0.506
F18 0.945 0.116 0.377
F19 0.310 0.261 0.006
F20 0.781 0.972 0.750
F21 0.041 0.392 0.123
F22 0.445 0.884 0.123
F23 0.219 0.028 0.250
F24 0.945 0.367 0.628
F25 0.043 0.107 0.867
F26 0.555 0.367 0.128
F27 0.959 0.608 0.877
F28 0.957 0.893 0.133
Ba1 0.817 0.268 0.002
Ba2 0.183 0.732 0.998
Ba3 0.317 0.732 0.498
Ba4 0.683 0.268 0.502
Ti1 0.611 0.804 0.810
Ti2 0.889 0.804 0.310
Ti3 0.389 0.196 0.190
Ti4 0.111 0.196 0.690
Zn1 0.399 0.306 0.810
Zn2 0.899 0.694 0.690
Zn3 0.101 0.306 0.310
Zn4 0.601 0.694 0.190
```

=====

Entry 2:
This record from Alexandria describes a geometry-optimized BaTlF4 structure. The functional is PBE.

Computed properties:
Its density of states at the Fermi level is 1.09 states/eV/f.u. The uncorrected formation energy is -2780 meV per atom. For the volume, the calculation gives 18.61 A^3/atom. The value obtained for the energy is -56.91 eV per cell. Its space-group type is I4_1/amd, No. 141.

CIF file:
```
data_BaTlF4
_chemical_formula_sum 'Ba2 Tl2 F8'
_cell_length_a 6.052
_cell_length_b 6.052
_cell_length_c 7.449
_cell_angle_alpha 113.97
_cell_angle_beta 113.97
_cell_angle_gamma 90.00
_symmetry_space_group_name_H-M 'P 1'
_symmetry_Int_Tables_number 1
loop_
_symmetry_equiv_pos_as_xyz
'x,y,z'
loop_
_atom_site_label
_atom_site_fract_x
_atom_site_fract_y
_atom_site_fract_z
F1 0.145 0.125 0.750
F2 0.605 0.125 0.750
F3 0.145 0.625 0.750
F4 0.375 0.395 0.250
F5 0.375 0.855 0.250
F6 0.875 0.395 0.250
F7 0.875 0.855 0.250
F8 0.605 0.625 0.750
Ba1 0.000 0.000 0.000
Ba2 0.750 0.250 0.500
Tl1 0.500 0.500 0.000
Tl2 0.250 0.750 0.500
```

=====

Entry 3:
This record from Alexandria describes a geometry-optimized Ba2TlF2 structure. The functional is PBE.

Computed properties:
Its density of states at the Fermi level is 1.71 states/eV/f.u. The uncorrected formation energy is -2396 meV per atom. For the volume, the calculation gives 29.95 A^3/atom. The value obtained for the energy is -21.94 eV per cell. Its space-group type is I4/mmm, No. 139.

CIF file:
```
data_Ba2TlF2
_chemical_formula_sum 'Ba2 Tl1 F2'
_cell_length_a 4.371
_cell_length_b 4.371
_cell_length_c 8.424
_cell_angle_alpha 74.96
_cell_angle_beta 74.96
_cell_angle_gamma 90.00
_symmetry_space_group_name_H-M 'P 1'
_symmetry_Int_Tables_number 1
loop_
_symmetry_equiv_pos_as_xyz
'x,y,z'
loop_
_atom_site_label
_atom_site_fract_x
_atom_site_fract_y
_atom_site_fract_z
F1 0.250 0.750 0.500
F2 0.750 0.250 0.500
Tl1 0.000 0.000 0.000
Ba1 0.651 0.651 0.697
Ba2 0.349 0.349 0.303
```

=====

Entry 4:
This record from Alexandria describes a geometry-optimized BaTlF2 structure. The functional is PBE.

Computed properties:
Its density of states at the Fermi level is 2.20 states/eV/f.u. The uncorrected formation energy is -2383 meV per atom. The calculation puts the energy above the most stable polymorph in this dataset at 242 meV/atom. For the volume, the calculation gives 33.59 A^3/atom. The value obtained for the energy is -35.13 eV per cell. Its space-group type is I-42d, No. 122.

CIF file:
```
data_BaTlF2
_chemical_formula_sum 'Ba2 Tl2 F4'
_cell_length_a 7.871
_cell_length_b 7.871
_cell_length_c 7.871
_cell_angle_alpha 131.38
_cell_angle_beta 131.38
_cell_angle_gamma 71.21
_symmetry_space_group_name_H-M 'P 1'
_symmetry_Int_Tables_number 1
loop_
_symmetry_equiv_pos_as_xyz
'x,y,z'
loop_
_atom_site_label
_atom_site_fract_x
_atom_site_fract_y
_atom_site_fract_z
Tl1 0.750 0.250 0.500
Tl2 0.000 0.000 0.000
F1 0.875 0.783 0.408
F2 0.217 0.625 0.092
F3 0.375 0.467 0.592
F4 0.533 0.125 0.908
Ba1 0.500 0.500 0.000
Ba2 0.250 0.750 0.500
```

=====

Entry 5:
This record from Alexandria describes a geometry-optimized BaTl2F7 structure. The functional is PBE.

Computed properties:
Its density of states at the Fermi level is 1.63 states/eV/f.u. The uncorrected formation energy is -2378 meV per atom. For the volume, the calculation gives 18.06 A^3/atom. The value obtained for the energy is -43.54 eV per cell. Its space-group type is Cmmm, No. 65.

CIF file:
```
data_BaTl2F7
_chemical_formula_sum 'Ba1 Tl2 F7'
_cell_length_a 4.369
_cell_length_b 6.712
_cell_length_c 6.712
_cell_angle_alpha 113.44
_cell_angle_beta 90.00
_cell_angle_gamma 90.00
_symmetry_space_group_name_H-M 'P 1'
_symmetry_Int_Tables_number 1
loop_
_symmetry_equiv_pos_as_xyz
'x,y,z'
loop_
_atom_site_label
_atom_site_fract_x
_atom_site_fract_y
_atom_site_fract_z
F1 0.000 0.746 0.254
F2 0.500 0.053 0.313
F3 0.000 0.254 0.746
F4 0.500 0.947 0.687
F5 0.500 0.500 0.500
F6 0.500 0.687 0.947
F7 0.500 0.313 0.053
Tl1 0.500 0.303 0.697
Tl2 0.500 0.697 0.303
Ba1 0.000 0.000 0.000
```

=====

Entry 6:
This record from Alexandria describes a geometry-optimized BaTl2F structure. The functional is PBE.

Computed properties:
Its density of states at the Fermi level is 4.47 states/eV/f.u. The uncorrected formation energy is -619 meV per atom. The calculation puts the energy above the most stable polymorph in this dataset at 621 meV/atom. For the volume, the calculation gives 30.60 A^3/atom. The value obtained for the energy is -11.00 eV per cell. Its space-group type is Fm-3m, No. 225.

CIF file:
```
data_BaTl2F
_chemical_formula_sum 'Ba1 Tl2 F1'
_cell_length_a 5.573
_cell_length_b 5.573
_cell_length_c 5.573
_cell_angle_alpha 60.00
_cell_angle_beta 60.00
_cell_angle_gamma 60.00
_symmetry_space_group_name_H-M 'P 1'
_symmetry_Int_Tables_number 1
loop_
_symmetry_equiv_pos_as_xyz
'x,y,z'
loop_
_atom_site_label
_atom_site_fract_x
_atom_site_fract_y
_atom_site_fract_z
Tl1 0.750 0.750 0.750
Tl2 0.250 0.250 0.250
Ba1 0.500 0.500 0.500
F1 0.000 0.000 0.000
```

=====

Entry 7:
This record from Alexandria describes a geometry-optimized BaTlF2 structure. The functional is PBE.

Computed properties:
Its density of states at the Fermi level is 2.28 states/eV/f.u. The uncorrected formation energy is -2141 meV per atom. The calculation puts the energy above the most stable polymorph in this dataset at 484 meV/atom. For the volume, the calculation gives 21.95 A^3/atom. The value obtained for the energy is -16.60 eV per cell. Its space-group type is Fm-3m, No. 225.

CIF file:
```
data_BaTlF2
_chemical_formula_sum 'Ba1 Tl1 F2'
_cell_length_a 4.989
_cell_length_b 4.989
_cell_length_c 4.989
_cell_angle_alpha 60.00
_cell_angle_beta 60.00
_cell_angle_gamma 60.00
_symmetry_space_group_name_H-M 'P 1'
_symmetry_Int_Tables_number 1
loop_
_symmetry_equiv_pos_as_xyz
'x,y,z'
loop_
_atom_site_label
_atom_site_fract_x
_atom_site_fract_y
_atom_site_fract_z
F1 0.750 0.750 0.750
F2 0.250 0.250 0.250
Tl1 0.500 0.500 0.500
Ba1 0.000 0.000 0.000
```